(1)
A plane-wave DFT calculation with GGA-PBE was carried out for an optimized crystal structure of Rb4ReO5.

DOS(E_F) in states/eV per cell: 1.397
Symmetry: I4

Lattice parameters (Å, degrees): 6.7037 6.7037 6.7037 101.65 101.65 126.58
Positions (direct):
Rb 0.1080 0.2969 0.4048
Rb 0.2969 0.8920 0.1889
Rb 0.7031 0.1080 0.8111
Rb 0.8920 0.7031 0.5952
Re 0.5403 0.5403 0.0000
O 0.2453 0.5211 0.8583
O 0.3871 0.2453 0.7243
O 0.5211 0.6628 0.2757
O 0.6628 0.3871 0.1417
O 0.8373 0.8373 0.0000

=====

(2)
A plane-wave DFT calculation with GGA-PBE was carried out for an optimized crystal structure of Rb2ReO5.

Symmetry: P1

Lattice parameters (Å, degrees): 5.6999 6.5997 6.7998 62.61 65.65 65.47
Positions (direct):
Rb 0.0000 0.0000 0.0000
Rb 0.4560 0.5723 0.5075
Re 0.2652 0.2527 0.2783
O 0.0419 0.5223 0.3349
O 0.1280 0.0397 0.5343
O 0.1781 0.4098 0.9911
O 0.4208 0.0465 0.1054
O 0.5684 0.2525 0.2916

=====

(3)
A plane-wave DFT calculation with GGA-PBE was carried out for an optimized crystal structure of RbRe3O.

DOS(E_F) in states/eV per cell: 4.551
Symmetry: Pm-3m

Lattice parameters (Å, degrees): 4.3476 4.3476 4.3476 90.00 90.00 90.00
Positions (direct):
Rb 0.0000 0.0000 0.0000
Re 0.0000 0.5000 0.5000
Re 0.5000 0.0000 0.5000
Re 0.5000 0.5000 0.0000
O 0.5000 0.5000 0.5000

=====

(4)
A plane-wave DFT calculation with GGA-PBE was carried out for an optimized crystal structure of Rb2Re2O7.

DOS(E_F) in states/eV per cell: 0.492
Symmetry: C2/m

Lattice parameters (Å, degrees): 6.9458 6.9458 5.8323 96.96 96.96 108.14
Positions (direct):
Rb 0.1887 0.8113 0.0000
Rb 0.8113 0.1887 0.0000
Re 0.2935 0.2935 0.5917
Re 0.7065 0.7065 0.4083
O 0.1439 0.4031 0.7580
O 0.1470 0.1470 0.3183
O 0.4031 0.1439 0.7580
O 0.5000 0.5000 0.5000
O 0.5969 0.8561 0.2420
O 0.8530 0.8530 0.6817
O 0.8561 0.5969 0.2420

=====

(5)
A plane-wave DFT calculation with GGA-PBE was carried out for an optimized crystal structure of RbReO6.

DOS(E_F) in states/eV per cell: 17.763
Symmetry: Fm-3m

Lattice parameters (Å, degrees): 6.8001 6.8001 6.8001 60.00 60.00 60.00
Positions (direct):
Rb 0.0000 0.0000 0.0000
Re 0.5000 0.5000 0.5000
O 0.3048 0.3048 0.6952
O 0.3048 0.6952 0.3048
O 0.3048 0.6952 0.6952
O 0.6952 0.3048 0.3048
O 0.6952 0.3048 0.6952
O 0.6952 0.6952 0.3048

=====

(6)
A plane-wave DFT calculation with GGA-PBE was carried out for an optimized crystal structure of Rb3ReO.

DOS(E_F) in states/eV per cell: 4.447
Symmetry: Pm-3m

Lattice parameters (Å, degrees): 5.6703 5.6703 5.6703 90.00 90.00 90.00
Positions (direct):
Rb 0.0000 0.0000 0.5000
Rb 0.0000 0.5000 0.0000
Rb 0.5000 0.0000 0.0000
Re 0.5000 0.5000 0.5000
O 0.0000 0.0000 0.0000

=====

no.,raw total energy (eV per atom),ΔE_f (raw) (eV/atom),total magnetic moment (μB per formula unit)
1,-5.6706,-1.56,1.03
2,-6.5047,-1.61,0.95
3,-6.8323,1.82,2.82
4,-7.2414,-1.65,2.03
5,-5.9942,-0.60,4.00
6,-3.3587,0.70,4.00